Record 1
The following is a PBE calculation of Mg2Zr2Au after structural relaxation, from Alexandria.

Results
energy above the lowest structure with this stoichiometry	0.00	eV/f.u.
size of the total moment	0.00	Bohr magnetons per cell
theoretical density	6.73	Mg/m³
energy of formation	-0.03	eV per atom

abc: 6.7078 6.7078 4.6961
angles: 90.00 90.00 90.00
Fractional positions:
Zr1 0.8327 0.3327 0.5000
Zr2 0.3327 0.1673 0.5000
Zr3 0.6673 0.8327 0.5000
Zr4 0.1673 0.6673 0.5000
Mg1 0.8589 0.6411 0.0000
Mg2 0.3589 0.8589 0.0000
Mg3 0.6411 0.1411 0.0000
Mg4 0.1411 0.3589 0.0000
Au1 0.0000 0.0000 0.0000
Au2 0.5000 0.5000 0.0000

---

Record 2
The following is a PBE calculation of Tc3HgC after structural relaxation, from Alexandria.

Results
energy above the lowest structure with this stoichiometry	16.75	eV/f.u.
size of the total moment	10.09	Bohr magnetons per cell
theoretical density	6.07	Mg/m³
energy of formation	3.72	eV per atom

abc: 5.1760 5.1760 5.1760
angles: 90.00 90.00 90.00
Last column: magnetic moment on the atom in μB.
Fractional positions:
Hg1 0.0000 0.0000 0.0000  0.05
Tc1 0.0000 0.5000 0.0000  3.35
Tc2 0.0000 0.0000 0.5000  3.61
Tc3 0.5000 0.0000 0.0000  2.99
C1 0.5000 0.5000 0.5000  -0.68

---

Record 3
The following is a PBE calculation of BaNi2Te after structural relaxation, from Alexandria.

Results
size of the total moment	0.00	Bohr magnetons per cell
theoretical density	7.14	Mg/m³
formation energy without anion corrections	0.25	eV per formula unit

abc: 3.4981 3.4981 7.2656
angles: 90.00 90.00 90.00
Fractional positions:
Ni1 0.0000 0.0000 0.0707
Ni2 0.5000 0.5000 0.2380
Te1 0.0000 0.0000 0.4028
Ba1 0.5000 0.5000 0.7885

---

Please write out number 1 again, unchanged.
The following is a PBE calculation of Mg2Zr2Au after structural relaxation, from Alexandria.

Results
energy above the lowest structure with this stoichiometry	0.00	eV/f.u.
size of the total moment	0.00	Bohr magnetons per cell
theoretical density	6.73	Mg/m³
energy of formation	-0.03	eV per atom

abc: 6.7078 6.7078 4.6961
angles: 90.00 90.00 90.00
Fractional positions:
Zr1 0.8327 0.3327 0.5000
Zr2 0.3327 0.1673 0.5000
Zr3 0.6673 0.8327 0.5000
Zr4 0.1673 0.6673 0.5000
Mg1 0.8589 0.6411 0.0000
Mg2 0.3589 0.8589 0.0000
Mg3 0.6411 0.1411 0.0000
Mg4 0.1411 0.3589 0.0000
Au1 0.0000 0.0000 0.0000
Au2 0.5000 0.5000 0.0000

---

What is the formula in the second record?
Tc3HgC

---

Please write out number 2 again, unchanged.
The following is a PBE calculation of Tc3HgC after structural relaxation, from Alexandria.

Results
energy above the lowest structure with this stoichiometry	16.75	eV/f.u.
size of the total moment	10.09	Bohr magnetons per cell
theoretical density	6.07	Mg/m³
energy of formation	3.72	eV per atom

abc: 5.1760 5.1760 5.1760
angles: 90.00 90.00 90.00
Last column: magnetic moment on the atom in μB.
Fractional positions:
Hg1 0.0000 0.0000 0.0000  0.05
Tc1 0.0000 0.5000 0.0000  3.35
Tc2 0.0000 0.0000 0.5000  3.61
Tc3 0.5000 0.0000 0.0000  2.99
C1 0.5000 0.5000 0.5000  -0.68